# Zr2TcPdCl

A geometry-optimized Zr2TcPdCl structure (GGA-PBE, Alexandria).

Unit cell a=5.130 b=5.130 c=4.529 alpha=90.00 beta=90.00 gamma=90.00
Space group P4/mmm (No. 123)
Unique sites:
Zr (0.000, 0.500, 0.000) x2
Tc (0.000, 0.000, 0.500) x1
Pd (0.500, 0.500, 0.000) x1
Cl (0.500, 0.500, 0.500) x1

## Properties
Crystal system ... tetragonal

---

# Th2ZnC

A geometry-optimized Th2ZnC structure (GGA-PBE, Alexandria).

Unit cell a=3.7292 b=3.7292 c=23.1313 alpha=90.00 beta=90.00 gamma=120.00
Space group R-3m (No. 166, hexagonal axes)
Unique sites:
Th (0.0000, 0.0000, 0.2297) x6
Zn (0.0000, 0.0000, 0.0000) x3
C (0.0000, 0.0000, 0.5000) x3

## Properties
Crystal system ... trigonal
Energy relative to the elements ... -0.194 eV/atom

---

# KAlMo2

A geometry-optimized KAlMo2 structure (GGA-PBE, Alexandria).

Unit cell a=3.176 b=5.392 c=10.076 alpha=90.00 beta=90.00 gamma=90.00
Space group Imm2 (No. 44)
Unique sites:
K (0.000, 0.000, 0.000) x2
Al (0.000, 0.500, 0.205) x2
Mo (0.000, 0.000, 0.454) x2
Mo (0.000, 0.500, 0.780) x2

## Properties
Crystal system ... orthorhombic
Energy relative to the elements ... 1.022 eV/atom

---

# PuNpSc2O8

A geometry-optimized PuNpSc2O8 structure (GGA-PBE, Alexandria).

Unit cell a=6.823 b=6.934 c=6.851 alpha=90.00 beta=90.00 gamma=90.00
Space group Cmmm (No. 65)
Unique sites:
Pu (0.000, 0.000, 0.000) x2
Np (0.000, 0.000, 0.500) x2
Sc (0.000, 0.500, 0.247) x4
O (0.000, 0.194, 0.259) x8
O (0.191, 0.500, 0.000) x4
O (0.198, 0.500, 0.500) x4

## Properties
Crystal system ... orthorhombic

---

# Zr2Bi2Se

A geometry-optimized Zr2Bi2Se structure (GGA-PBE, Alexandria).

Unit cell a=7.654 b=7.654 c=4.240 alpha=90.00 beta=90.00 gamma=90.00
Space group P4/mbm (No. 127)
Unique sites:
Zr (0.156, 0.344, 0.000) x4
Bi (0.145, 0.645, 0.500) x4
Se (0.000, 0.000, 0.000) x2

## Properties
Crystal system ... tetragonal

---

# U6MoN12

A geometry-optimized U6MoN12 structure (GGA-PBE, Alexandria).

Unit cell a=9.7755 b=9.7755 c=9.1758 alpha=90.00 beta=90.00 gamma=120.00
Space group R-3 (No. 148, hexagonal axes)
Unique sites:
U (0.0526, 0.2576, 0.1610) x18
Mo (0.0000, 0.0000, 0.5000) x3
N (0.0331, 0.2275, 0.9023) x18
N (0.0420, 0.2109, 0.3941) x18

## Properties
Crystal system ... trigonal

---

# NdY4Tm7

A geometry-optimized NdY4Tm7 structure (GGA-PBE, Alexandria).

Unit cell a=6.716 b=6.934 c=8.672 alpha=79.31 beta=76.70 gamma=76.47
Space group P-1 (No. 2)
Unique sites:
Nd (0.000, 0.000, 0.000) x1
Y (0.187, 0.606, 0.334) x2
Y (0.349, 0.230, 0.681) x2
Tm (0.000, 0.500, 0.000) x1
Tm (0.180, 0.107, 0.369) x2
Tm (0.319, 0.736, 0.672) x2
Tm (0.478, 0.252, 0.027) x2

## Properties
Crystal system ... triclinic
Energy relative to the elements ... 0.079 eV/atom
Polymorph energy (0 for the lowest one) ... 0.0 kJ/mol of atoms

---

# ZrCrHRh2

A geometry-optimized ZrCrHRh2 structure (GGA-PBE, Alexandria).

Unit cell a=4.014 b=4.014 c=4.065 alpha=90.00 beta=90.00 gamma=90.00
Space group P4/mmm (No. 123)
Unique sites:
Zr (0.000, 0.000, 0.000) x1
Cr (0.500, 0.500, 0.000) x1
H (0.000, 0.000, 0.500) x1
Rh (0.000, 0.500, 0.500) x2

## Properties
Crystal system ... tetragonal
Polymorph energy (0 for the lowest one) ... 6.9 kJ/mol of atoms

---

The calculation returns the following DOS(E_F) values, one per record and in order: 0.776; 0.910; 0.932; 0.626; 0.160; 0.855; 1.626; 0.658 states/eV per atom.
The calculation returns the following energy values, one per record and in order: -5.893; -6.528; -5.604; -9.772; -6.146; -10.622; -5.081; -7.537 eV per atom.